[1]
The following is a PBE calculation of an optimized crystal structure of Pm2Ho3Sc8, from Alexandria via LeMat-Bulk.

Structure (POSCAR):
```
Pm2Ho3Sc8
1.0
7.048 -4.291 0.000
7.048 4.291 0.000
-1.017 0.000 6.275
Pm Ho Sc
2 3 8
Cartesian
2.665 0.000 1.570
10.413 0.000 4.705
-0.509 0.000 3.137
7.048 2.764 0.000
7.048 -2.764 0.000
4.959 1.507 3.517
2.340 0.000 4.732
5.790 0.000 0.794
8.119 1.507 2.758
4.959 -1.507 3.517
7.288 0.000 5.481
10.738 0.000 1.543
8.119 -1.507 2.758
```

* SG: C2/m
* energy of formation: 0.30 eV per atom

=====

[2]
The following is a PBE calculation of an optimized crystal structure of SrRuO2, from Alexandria via LeMat-Bulk.

Structure (POSCAR):
```
SrRuO2
1.0
1.782 1.029 6.373
-1.782 1.029 6.373
0.000 -2.058 6.373
Sr Ru O
1 1 2
Cartesian
0.000 0.000 0.000
0.000 0.000 9.559
0.000 0.000 7.682
0.000 0.000 11.436
```

* SG: R-3m
* relative energy among the computed polymorphs: 0.0 kJ/mol of atoms
* energy relative to the elements, uncorrected: -1.32 eV per atom

=====

[3]
The following is a PBE calculation of an optimized crystal structure of Pm3Y3Tm2, from Alexandria via LeMat-Bulk.

Structure (POSCAR):
```
Pm3Y3Tm2
1.0
-2.533 2.534 10.118
2.533 -2.534 10.118
2.533 2.534 -10.118
Pm Y Tm
3 3 2
Cartesian
0.000 0.000 0.000
2.533 0.000 7.556
0.000 2.534 2.562
2.533 0.000 2.574
0.000 0.000 10.118
0.000 2.534 7.544
0.000 0.000 5.050
0.000 0.000 15.187
```

* SG: Immm
* energy of formation: 0.02 eV per atom
* relative energy among the computed polymorphs: 0.0 kJ/mol of atoms

=====

[4]
The following is a PBE calculation of an optimized crystal structure of Dy4AgIr2, from Alexandria via LeMat-Bulk.

Structure (POSCAR):
```
Dy4AgIr2
1.0
4.333 -6.225 0.000
4.333 6.225 0.000
-4.332 0.000 6.177
Dy Ag Ir
8 2 4
Cartesian
2.167 6.202 3.089
2.165 3.142 1.712
1.252 0.872 3.957
5.582 2.239 0.847
3.418 -0.872 0.868
-0.001 -3.142 4.800
3.416 -2.239 3.936
4.333 -6.202 0.000
-1.532 1.553 5.494
0.633 -1.553 2.405
1.712 3.941 4.767
3.879 0.818 3.118
6.045 -0.818 0.030
3.878 -3.941 1.678
```

* SG: Cc
* energy of formation: -0.61 eV per atom
* relative energy among the computed polymorphs: 4.5 kJ/mol of atoms

=====

[5]
The following is a PBE calculation of an optimized crystal structure of FeSiP2, from Alexandria via LeMat-Bulk.

Structure (POSCAR):
```
FeSiP2
1.0
3.357 0.000 0.000
0.000 4.036 0.000
-0.880 0.000 4.016
Fe Si P
1 1 2
Cartesian
0.000 0.000 0.000
1.239 0.000 2.008
-0.018 2.018 3.250
2.496 2.018 0.766
```

* SG: P2/m
* energy relative to the elements, uncorrected: 0.16 eV per atom

=====

[6]
The following is a PBE calculation of an optimized crystal structure of CaTl2Fe, from Alexandria via LeMat-Bulk.

Structure (POSCAR):
```
CaTl2Fe
1.0
-2.044 2.640 4.480
2.044 -2.640 4.480
2.044 2.640 -4.480
Ca Tl Fe
1 2 1
Cartesian
0.000 0.000 0.000
2.044 0.000 2.519
0.000 2.640 1.961
0.000 0.000 4.480
```

* SG: Immm
* energy of formation: 0.20 eV per atom

=====

[7]
The following is a PBE calculation of an optimized crystal structure of PmPr2Tm, from Alexandria via LeMat-Bulk.

Structure (POSCAR):
```
PmPr2Tm
1.0
4.236 0.000 0.000
0.000 4.236 0.000
0.000 0.000 7.643
Pm Pr Tm
1 2 1
Cartesian
0.000 0.000 0.000
2.118 2.118 1.996
2.118 2.118 5.647
0.000 0.000 3.821
```

* SG: P4/mmm
* energy of formation: 0.10 eV per atom
* relative energy among the computed polymorphs: 8.1 kJ/mol of atoms

=====

In eV/atom, the calculated total energy values for the records above are, in order, -5.385, -6.534, -5.300, -6.175, -6.017, -3.598, -4.597.